{"formula": "BaAsW3", "functional": "SCAN", "state": "single point on PBEsol structure", "cell": [[4.945, 0.000, 0.000], [0.000, 4.945, 0.000], [0.000, 0.000, 4.945]], "species": ["Ba", "As", "W", "W", "W"], "frac_coords": [[0.000, 0.000, 0.000], [0.500, 0.500, 0.500], [0.500, 0.000, 0.000], [0.000, 0.000, 0.500], [0.000, 0.500, 0.000]], "mass_density_g_cm3": 10.49, "energy_ev_per_cell": -247.6, "spacegroup": "Pm-3m, No. 221", "formation_energy_ev_per_atom": 4.241}


{"formula": "Li3YNi", "functional": "SCAN", "state": "single point on PBEsol structure", "cell": [[-1.592, 1.928, -4.310], [-3.813, -3.208, -0.027], [-2.786, 3.289, 2.500]], "species": ["Li", "Li", "Li", "Ni", "Y"], "frac_coords": [[0.000, 0.000, 0.500], [0.000, 0.500, 0.000], [0.500, 0.000, 0.000], [0.500, 0.500, 0.500], [0.000, 0.000, 0.000]], "mass_density_g_cm3": 2.26, "energy_ev_per_cell": -42.8, "spacegroup": "Pm-3m, No. 221", "formation_energy_ev_per_atom": 1.674}


Please write out number 1 again, unchanged.
{"formula": "BaAsW3", "functional": "SCAN", "state": "single point on PBEsol structure", "cell": [[4.945, 0.000, 0.000], [0.000, 4.945, 0.000], [0.000, 0.000, 4.945]], "species": ["Ba", "As", "W", "W", "W"], "frac_coords": [[0.000, 0.000, 0.000], [0.500, 0.500, 0.500], [0.500, 0.000, 0.000], [0.000, 0.000, 0.500], [0.000, 0.500, 0.000]], "mass_density_g_cm3": 10.49, "energy_ev_per_cell": -247.6, "spacegroup": "Pm-3m, No. 221", "formation_energy_ev_per_atom": 4.241}


What is the formula in the first record?
BaAsW3